Entry from the Alexandria database: an optimized crystal structure of CsCr2PbO8 (PBE+U).

Cell: 5.5339 5.5339 8.8861 Å, 90.00 90.00 120.00°
Last column: nearest neighbours and their distance in Å.
Fractional coordinates of all 12 atoms:
Cs: 0.0000 0.0000 0.0000  12 O 3.30-3.53
Cr: 0.3333 0.6667 0.7217  4 O 1.63-1.68
Cr: 0.6667 0.3333 0.2783  4 O 1.63-1.68
Pb: 0.0000 0.0000 0.5000  6 O 2.33
O: 0.0669 0.3605 0.6612  1 Cr 1.68
O: 0.2936 0.9331 0.6612  1 Cr 1.68
O: 0.3333 0.6667 0.9051  1 Cr 1.63
O: 0.3605 0.2936 0.3388  1 Cr 1.68
O: 0.6395 0.7064 0.6612  1 Cr 1.68
O: 0.6667 0.3333 0.0949  1 Cr 1.63
O: 0.7064 0.0669 0.3388  1 Cr 1.68
O: 0.9331 0.6395 0.3388  1 Cr 1.68

Calculated values
calculated volume	19.64	A^3/atom
total magnetization	0.00	μB per cell
E_tot	-6.218	eV per atom


Entry from the Alexandria database: an optimized crystal structure of CsCr2Pb2O7 (PBE+U).

Cell: 9.2559 9.2559 9.2559 Å, 37.49 37.49 37.49°
Last column: nearest neighbours and their distance in Å.
Fractional coordinates of all 12 atoms:
Cs: 0.0000 0.0000 0.0000  6 O 3.25
Cr: 0.4295 0.4295 0.4295  4 O 1.75-1.82
Cr: 0.5705 0.5705 0.5705  4 O 1.75-1.82
Pb: 0.2081 0.2081 0.2081  3 O 2.24
Pb: 0.7919 0.7919 0.7919  3 O 2.24
O: 0.0947 0.5000 0.6355  1 Cr 1.75
O: 0.3645 0.5000 0.9053  1 Cr 1.75
O: 0.5000 0.5000 0.5000  2 Cr 1.82
O: 0.5000 0.6355 0.0947  1 Cr 1.75
O: 0.5000 0.9053 0.3645  1 Cr 1.75
O: 0.6355 0.0947 0.5000  1 Cr 1.75
O: 0.9053 0.3645 0.5000  1 Cr 1.75

Calculated values
calculated volume	21.96	A^3/atom
total magnetization	3.00	μB per cell
E_tot	-6.202	eV per atom


Entry from the Alexandria database: an optimized crystal structure of CsCr2PdO8 (PBE+U).

Cell: 5.2205 5.2205 8.8144 Å, 90.00 90.00 120.00°
Last column: nearest neighbours and their distance in Å.
Fractional coordinates of all 12 atoms:
Cs: 0.0000 0.0000 0.0000  6 O 3.19
Cr: 0.3333 0.6667 0.6970  4 O 1.64-1.69
Cr: 0.6667 0.3333 0.3030  4 O 1.64-1.69
Pd: 0.0000 0.0000 0.5000  6 O 2.06
O: 0.0492 0.3391 0.6380  1 Cr 1.69
O: 0.2899 0.9508 0.6380  1 Cr 1.69
O: 0.3333 0.6667 0.8826  1 Cr 1.64
O: 0.3391 0.2899 0.3620  1 Cr 1.69
O: 0.6609 0.7101 0.6380  1 Cr 1.69
O: 0.6667 0.3333 0.1174  1 Cr 1.64
O: 0.7101 0.0492 0.3620  1 Cr 1.69
O: 0.9508 0.6609 0.3620  1 Cr 1.69

Calculated values
calculated volume	17.34	A^3/atom
total magnetization	1.05	μB per cell
E_tot	-6.173	eV per atom